Entry 1:
First-principles (PBE-GGA) data for a geometry-optimized Dy9Y2Er structure, as listed in the Alexandria database.

The calculation puts the density of states at the Fermi level at 19.4 states/eV/cell. As for the energy above the most stable polymorph in this dataset: 38.3 meV per atom.

It has space group P6/mmm (No. 191), with a = 11.2126 Å, b = 11.2126 Å, c = 3.4788 Å, α = 90.00°, β = 90.00° and γ = 120.00°. The asymmetric unit holds Dy at (0.0000, 0.5000, 0.0000), Dy at (0.1750, 0.3499, 0.5000), Y at (0.3333, 0.6667, 0.0000) and Er at (0.0000, 0.0000, 0.0000).

***

Entry 2:
First-principles (PBE-GGA) data for a geometry-optimized DyYEr2 structure, as listed in the Alexandria database.

The calculation puts the density of states at the Fermi level at 5.8 states/eV/cell. As for the energy above the most stable polymorph in this dataset: 20.0 meV per atom.

It has space group P4/mmm (No. 123), with a = 4.9982 Å, b = 4.9982 Å, c = 4.9926 Å, α = 90.00°, β = 90.00° and γ = 90.00°. The asymmetric unit holds Dy at (0.0000, 0.0000, 0.0000), Y at (0.5000, 0.5000, 0.0000) and Er at (0.0000, 0.5000, 0.5000).

***

Entry 3:
First-principles (PBE-GGA) data for a geometry-optimized Dy4Y7Er2 structure, as listed in the Alexandria database.

For the calculated total energy, the calculation gives -5.424 eV/atom. The calculation puts the density of states at the Fermi level at 18.4 states/eV/cell.

It has space group P-31m (No. 162), with a = 6.0790 Å, b = 6.0790 Å, c = 13.2163 Å, α = 90.00°, β = 90.00° and γ = 120.00°. The asymmetric unit holds Dy at (0.0000, 0.0000, 0.1061), Dy at (0.3333, 0.6667, 0.0000), Y at (0.0000, 0.0000, 0.5000), Y at (0.0000, 0.3571, 0.7160) and Er at (0.3333, 0.6667, 0.5000).

***

Entry 4:
First-principles (PBE-GGA) data for a geometry-optimized Dy3YEr5 structure, as listed in the Alexandria database.

The calculation puts the density of states at the Fermi level at 49.0 states/eV/cell. As for the energy above the most stable polymorph in this dataset: 303.9 meV per atom.

It has space group C2/m (No. 12), with a = 15.0935 Å, b = 11.2780 Å, c = 9.9137 Å, α = 90.00°, β = 130.46° and γ = 90.00°. The asymmetric unit holds Dy at (0.0000, 0.0000, 0.0000), Dy at (0.0000, 0.5000, 0.5000), Dy at (0.0103, 0.0000, 0.3132), Dy at (0.0210, 0.5000, 0.8638), Y at (0.2493, 0.0000, 0.0998), Er at (0.0000, 0.2398, 0.5000), Er at (0.1518, 0.2488, 0.2508), Er at (0.2202, 0.0000, 0.7287) and Er at (0.2220, 0.5000, 0.5364).

***

Entry 5:
First-principles (PBE-GGA) data for a geometry-optimized Dy8Y3Er structure, as listed in the Alexandria database.

For the calculated total energy, the calculation gives -4.316 eV/atom. The calculation puts the density of states at the Fermi level at 27.3 states/eV/cell.

It has space group I4/mmm (No. 139), with a = 7.6911 Å, b = 7.6911 Å, c = 15.3649 Å, α = 90.00°, β = 90.00° and γ = 90.00°. The asymmetric unit holds Dy at (0.2485, 0.2485, 0.1243), Y at (0.0000, 0.0000, 0.5000), Y at (0.0000, 0.5000, 0.2500) and Er at (0.0000, 0.0000, 0.0000).

***

Entry 6:
First-principles (PBE-GGA) data for a geometry-optimized Dy6Y2Er structure, as listed in the Alexandria database.

For the calculated total energy, the calculation gives -4.992 eV/atom. The calculation puts the density of states at the Fermi level at 12.6 states/eV/cell.

It has space group P-1 (No. 2), with a = 3.5477 Å, b = 8.6737 Å, c = 9.3748 Å, α = 89.98°, β = 79.16° and γ = 89.93°. The asymmetric unit holds Dy at (0.1119, 0.3315, 0.2767), Dy at (0.2224, 0.6666, 0.0547), Dy at (0.3335, 0.0004, 0.8329), Y at (0.4444, 0.3332, 0.6110) and Er at (0.0000, 0.0000, 0.5000).

***

Entry 7:
First-principles (PBE-GGA) data for a geometry-optimized Dy4YEr6 structure, as listed in the Alexandria database.

The calculation puts the density of states at the Fermi level at 76.1 states/eV/cell. As for the energy above the most stable polymorph in this dataset: 0.0 meV per atom.

It has space group Cmcm (No. 63), with a = 5.6123 Å, b = 9.6137 Å, c = 25.5088 Å, α = 90.00°, β = 90.00° and γ = 90.00°. The asymmetric unit holds Dy at (0.0000, 0.0122, 0.1215), Dy at (0.0000, 0.3371, 0.0423), Y at (0.0000, 0.3254, 0.7500), Er at (0.0000, 0.0000, 0.0000), Er at (0.0000, 0.0084, 0.2500), Er at (0.0000, 0.3234, 0.6042) and Er at (0.0000, 0.3430, 0.1816).

***

Entry 8:
First-principles (PBE-GGA) data for a geometry-optimized Dy9Y11Er4 structure, as listed in the Alexandria database.

For the calculated total energy, the calculation gives -5.402 eV/atom. The calculation puts the density of states at the Fermi level at 62.0 states/eV/cell.

It has space group Cmmm (No. 65), with a = 16.6496 Å, b = 25.1475 Å, c = 3.6705 Å, α = 90.00°, β = 90.00° and γ = 90.00°. The asymmetric unit holds Dy at (0.0000, 0.0000, 0.0000), Dy at (0.1021, 0.2333, 0.0000), Dy at (0.1421, 0.4275, 0.0000), Y at (0.0000, 0.1323, 0.5000), Y at (0.0000, 0.3403, 0.5000), Y at (0.0000, 0.5000, 0.5000), Y at (0.2072, 0.0000, 0.5000), Y at (0.2259, 0.3193, 0.5000) and Er at (0.1550, 0.1010, 0.0000).